! Cu4Ag5, relaxed, DFT PBE-GGA; values from VASP
&SYSTEM
  ibrav = 0, nat = 9, ntyp = 2
/
ATOMIC_SPECIES
Ag 107.87 Ag.upf
Cu 63.55 Cu.upf
ATOMIC_POSITIONS crystal
Ag 0.000 0.000 0.000
Ag 0.564 0.564 0.000
Ag 0.436 0.436 0.000
Ag 0.327 0.327 0.000
Ag 0.673 0.673 0.000
Cu 0.228 0.228 0.000
Cu 0.772 0.772 0.000
Cu 0.118 0.118 0.000
Cu 0.882 0.882 0.000
CELL_PARAMETERS angstrom
-1.419 1.419 17.050
1.419 -1.419 17.050
1.419 1.419 -17.050
! Relative energy among the computed polymorphs, meV per atom: 35
! E_tot, eV per atom: -3.1485